An optimized crystal structure of NaZn4Pd. Source: the Alexandria database, functional PBE-GGA.

Structure (POSCAR):
```
NaZn4Pd
1.0
-2.3022 4.5696 -0.1618
-4.8547 0.3658 -1.5831
-3.7070 1.1186 3.3488
Na Zn Pd
1 4 1
direct
0.2500 0.2500 0.2500 Na
0.6258 0.6258 0.1227 Zn
0.6258 0.1227 0.6258 Zn
0.6258 0.6258 0.6258 Zn
0.1227 0.6258 0.6258 Zn
0.0000 0.0000 0.0000 Pd
```

## Properties
Its crystal system is cubic. The value obtained for the energy relative to the elements is -101 kJ/mol of formula units.

An optimized crystal structure of AcErZr. Source: the Alexandria database, functional PBE-GGA.

Structure (POSCAR):
```
AcErZr
1.0
3.8553 0.0000 0.0000
0.0000 3.8553 0.0000
0.0000 0.0000 13.2234
Ac Er Zr
2 2 2
direct
0.0000 0.5000 0.6087 Ac
0.5000 0.0000 0.3913 Ac
0.5000 0.0000 0.8080 Er
0.0000 0.5000 0.1920 Er
0.0000 0.5000 0.9510 Zr
0.5000 0.0000 0.0490 Zr
```

## Properties
Its crystal system is tetragonal. The value obtained for the energy relative to the elements is 20 kJ/mol of formula units.

An optimized crystal structure of ZrBe2Sb. Source: the Alexandria database, functional PBE-GGA.

Structure (POSCAR):
```
ZrBe2Sb
1.0
-4.7288 1.8334 1.3651
-4.2439 -1.6041 -2.6463
4.1927 -2.1338 2.3354
Sb Zr Be
1 1 2
direct
0.5000 0.5000 0.0000 Sb
0.7500 0.2500 0.5000 Zr
0.0000 0.0000 0.0000 Be
0.2500 0.7500 0.5000 Be
```

## Properties
For the uncorrected formation energy, the calculation gives -0.09 eV per atom. Its crystal system is tetragonal.

An optimized crystal structure of NaLiLa2O. Source: the Alexandria database, functional PBE-GGA.

Structure (POSCAR):
```
NaLiLa2O
1.0
-0.1938 0.1714 -6.1174
3.2408 -1.2177 -0.1368
-2.1567 -5.7297 -0.0922
Na Li O La
1 1 1 2
direct
0.5000 0.5000 0.5000 Na
0.0000 0.0000 0.0000 Li
0.0000 0.5000 0.0000 O
0.0000 0.0000 0.5000 La
0.5000 0.0000 0.0000 La
```

## Properties
For the uncorrected formation energy, the calculation gives -0.18 eV per atom. Its crystal system is tetragonal.

An optimized crystal structure of PmY3Bi3. Source: the Alexandria database, functional PBE-GGA.

Structure (POSCAR):
```
PmY3Bi3
1.0
-4.3229 -6.0759 -5.8293
5.6413 -6.9545 3.0652
-6.2509 -2.0744 6.7977
Pm Y Bi
4 12 12
direct
0.0705 0.5705 0.9295 Pm
0.9295 0.0705 0.5705 Pm
0.4295 0.4295 0.4295 Pm
0.5705 0.9295 0.0705 Pm
0.8212 0.3212 0.1788 Y
0.9236 0.9236 0.9236 Y
0.8220 0.6780 0.3220 Y
0.1788 0.8212 0.3212 Y
0.1780 0.1780 0.1780 Y
0.3220 0.8220 0.6780 Y
0.0764 0.4236 0.5764 Y
0.3212 0.1788 0.8212 Y
0.6780 0.3220 0.8220 Y
0.6788 0.6788 0.6788 Y
0.5764 0.0764 0.4236 Y
0.4236 0.5764 0.0764 Y
0.7448 0.6226 0.0011 Bi
0.8774 0.9989 0.2448 Bi
0.0011 0.7448 0.6226 Bi
0.1226 0.4989 0.2552 Bi
0.2552 0.1226 0.4989 Bi
0.2448 0.8774 0.9989 Bi
0.9989 0.2448 0.8774 Bi
0.3774 0.5011 0.7552 Bi
0.4989 0.2552 0.1226 Bi
0.6226 0.0011 0.7448 Bi
0.7552 0.3774 0.5011 Bi
0.5011 0.7552 0.3774 Bi
```

## Properties
Its crystal system is cubic. The value obtained for the energy relative to the elements is -527 kJ/mol of formula units.

An optimized crystal structure of Y2FeSi2. Source: the Alexandria database, functional PBE-GGA.

Structure (POSCAR):
```
Y2FeSi2
1.0
4.1377 0.0000 -0.0003
2.0689 5.2730 -0.0275
2.0683 0.4258 8.6999
Y Si Fe
4 4 2
direct
0.1883 0.7316 0.8920 Y
0.9984 0.3308 0.6722 Y
0.8117 0.2684 0.1080 Y
0.0016 0.6692 0.3278 Y
0.4994 0.8740 0.1272 Si
0.6567 0.2509 0.4354 Si
0.5006 0.1260 0.8728 Si
0.3433 0.7491 0.5646 Si
0.2721 0.0793 0.3761 Fe
0.7279 0.9207 0.6239 Fe
```

## Properties
For the uncorrected formation energy, the calculation gives -0.71 eV per atom. Its crystal system is monoclinic.

An optimized crystal structure of Ac4InTe2Pb. Source: the Alexandria database, functional PBE-GGA.

Structure (POSCAR):
```
Ac4InTe2Pb
1.0
-4.7287 0.0665 -0.6682
-0.9561 -5.0984 6.2588
-0.2973 8.0692 2.9076
Ac In Te Pb
4 1 2 1
direct
0.5000 0.2472 0.2449 Ac
0.5000 0.7528 0.7551 Ac
0.0000 0.2513 0.7518 Ac
0.0000 0.7487 0.2482 Ac
0.5000 0.5000 0.0000 In
0.5000 0.0000 0.5000 Te
0.0000 0.5000 0.5000 Te
0.0000 0.0000 0.0000 Pb
```

## Properties
For the uncorrected formation energy, the calculation gives -0.96 eV per atom. Its crystal system is monoclinic.

An optimized crystal structure of RbMgAsSe3. Source: the Alexandria database, functional PBE-GGA.

Structure (POSCAR):
```
RbMgAsSe3
1.0
3.8836 0.0000 0.0000
0.0000 8.4726 -1.0057
0.0000 -3.2520 11.2856
Rb Mg As Se
2 2 2 6
direct
0.2500 0.1896 0.2398 Rb
0.7500 0.8104 0.7602 Rb
0.2500 0.5895 0.1270 Mg
0.7500 0.4105 0.8730 Mg
0.2500 0.1501 0.5580 As
0.7500 0.8499 0.4420 As
0.7500 0.8405 0.2382 Se
0.2500 0.1595 0.7618 Se
0.2500 0.6589 0.4430 Se
0.7500 0.3411 0.5570 Se
0.7500 0.3585 0.0794 Se
0.2500 0.6415 0.9206 Se
```

## Properties
For the uncorrected formation energy, the calculation gives -0.76 eV per atom. Its crystal system is monoclinic.

An optimized crystal structure of La4Cu5. Source: the Alexandria database, functional PBE-GGA.

Structure (POSCAR):
```
La4Cu5
1.0
8.7807 0.0000 0.0000
4.3904 7.6043 0.0000
0.0000 0.0000 6.5022
Cu La
10 8
direct
0.2920 0.7080 0.2500 Cu
0.0000 0.2920 0.2500 Cu
0.7080 0.0000 0.2500 Cu
0.7080 0.2920 0.7500 Cu
0.0000 0.7080 0.7500 Cu
0.2920 0.0000 0.7500 Cu
0.3333 0.3333 0.0000 Cu
0.6667 0.6667 0.5000 Cu
0.6667 0.6667 0.0000 Cu
0.3333 0.3333 0.5000 Cu
0.0000 0.0000 0.0000 La
0.0000 0.0000 0.5000 La
0.6135 0.3865 0.2500 La
0.0000 0.6135 0.2500 La
0.3865 0.0000 0.2500 La
0.3865 0.6135 0.7500 La
0.0000 0.3865 0.7500 La
0.6135 0.0000 0.7500 La
```

## Properties
Its crystal system is hexagonal. The value obtained for the energy relative to the elements is 10 kJ/mol of formula units.

An optimized crystal structure of La2BiTe. Source: the Alexandria database, functional PBE-GGA.

Structure (POSCAR):
```
La2BiTe
1.0
7.2779 0.0000 0.0000
0.0000 7.2779 0.0000
3.6390 3.6390 7.3866
Te Bi La
2 2 4
direct
0.5000 0.5000 0.0000 Te
0.2500 0.7500 0.5000 Te
0.0000 0.0000 0.0000 Bi
0.7500 0.2500 0.5000 Bi
0.6244 0.1250 0.2500 La
0.1256 0.6250 0.2500 La
0.3750 0.3756 0.7500 La
0.8750 0.8744 0.7500 La
```

## Properties
For the uncorrected formation energy, the calculation gives -0.78 eV per atom. Its crystal system is tetragonal.

An optimized crystal structure of ZnCoCuIr. Source: the Alexandria database, functional PBE-GGA.

Structure (POSCAR):
```
ZnCoCuIr
1.0
-1.0293 -1.7307 -3.6714
1.1997 -3.9143 -0.8791
-2.8364 -3.0771 -0.1422
Zn Ir Co Cu
1 1 1 1
direct
0.0000 0.0000 0.0000 Zn
0.7500 0.7500 0.7500 Ir
0.5000 0.5000 0.5000 Co
0.2500 0.2500 0.2500 Cu
```

## Properties
Its crystal system is cubic. The value obtained for the energy relative to the elements is 13 kJ/mol of formula units.

An optimized crystal structure of SnHg14Pb. Source: the Alexandria database, functional PBE-GGA.

Structure (POSCAR):
```
SnHg14Pb
1.0
-1.1962 6.4234 2.0662
-4.7253 -3.4459 -3.3870
-4.0310 -3.8047 9.4944
Sn Hg Pb
1 14 1
direct
0.7455 0.4910 0.5000 Sn
0.1398 0.2796 0.0000 Hg
0.6367 0.2735 0.0000 Hg
0.7217 0.9571 0.5000 Hg
0.6426 0.7750 0.0000 Hg
0.2353 0.9571 0.5000 Hg
0.1324 0.7750 0.0000 Hg
0.8163 0.1282 0.7601 Hg
0.8163 0.1282 0.2399 Hg
0.3119 0.1282 0.7601 Hg
0.3119 0.1282 0.2399 Hg
0.3174 0.6348 0.7673 Hg
0.3174 0.6348 0.2327 Hg
0.8116 0.6232 0.7628 Hg
0.8116 0.6232 0.2372 Hg
0.2315 0.4629 0.5000 Pb
```

## Properties
Its crystal system is orthorhombic. The value obtained for the energy relative to the elements is 48 kJ/mol of formula units.